1.
# La8AgRh3I4, relaxed, DFT PBE-GGA
# - ΔE_f (raw) (eV/atom) = -0.931
data_La8AgRh3I4
_cell_length_a 8.5989
_cell_length_b 8.5989
_cell_length_c 24.8025
_cell_angle_alpha 90.00
_cell_angle_beta 90.00
_cell_angle_gamma 120.00
_space_group_name_H-M_alt 'R -3 m'
_space_group_IT_number 166
_space_group_name_Hall '-R 3 2"'
loop_
_atom_site_label
_atom_site_type_symbol
_atom_site_fract_x
_atom_site_fract_y
_atom_site_fract_z
La1 La 0.0000 0.0000 0.2296
La2 La 0.0179 0.5089 0.7704
Ag1 Ag 0.0000 0.0000 0.5000
Rh1 Rh 0.0000 0.5000 0.5000
I1 I 0.0000 0.0000 0.0000
I2 I 0.0000 0.5000 0.0000

=====

2.
# La4AgRhI2, relaxed, DFT PBE-GGA
# - ΔE_f (raw) (eV/atom) = -0.803
data_La4AgRhI2
_cell_length_a 7.582
_cell_length_b 4.335
_cell_length_c 8.585
_cell_angle_alpha 90.00
_cell_angle_beta 106.78
_cell_angle_gamma 90.00
_space_group_name_H-M_alt 'P 1 2/m 1'
_space_group_IT_number 10
loop_
_space_group_symop_operation_xyz
'x,y,z'
'-x,-y,-z'
'-x,y,-z'
'x,-y,z'
loop_
_atom_site_label
_atom_site_type_symbol
_atom_site_fract_x
_atom_site_fract_y
_atom_site_fract_z
La1 La 0.218 0.000 0.192
La2 La 0.239 0.500 0.802
Ag1 Ag 0.500 0.000 0.000
Rh1 Rh 0.000 0.500 0.000
I1 I 0.000 0.000 0.500
I2 I 0.500 0.500 0.500

=====

3.
# La8AgRu3I4, relaxed, DFT PBE-GGA
# - ΔE_f (raw) (eV/atom) = -0.773
data_La8AgRu3I4
_cell_length_a 8.5496
_cell_length_b 8.5496
_cell_length_c 24.8349
_cell_angle_alpha 90.00
_cell_angle_beta 90.00
_cell_angle_gamma 120.00
_space_group_name_H-M_alt 'R -3 m'
_space_group_IT_number 166
_space_group_name_Hall '-R 3 2"'
loop_
_atom_site_label
_atom_site_type_symbol
_atom_site_fract_x
_atom_site_fract_y
_atom_site_fract_z
La1 La 0.0000 0.0000 0.2299
La2 La 0.0237 0.5119 0.7712
Ag1 Ag 0.0000 0.0000 0.5000
Ru1 Ru 0.0000 0.5000 0.5000
I1 I 0.0000 0.0000 0.0000
I2 I 0.0000 0.5000 0.0000

=====

4.
# La4AgRuI2, relaxed, DFT PBE-GGA
# - ΔE_f (raw) (eV/atom) = -0.725
data_La4AgRuI2
_cell_length_a 7.587
_cell_length_b 4.308
_cell_length_c 8.626
_cell_angle_alpha 90.00
_cell_angle_beta 106.63
_cell_angle_gamma 90.00
_space_group_name_H-M_alt 'P 1 2/m 1'
_space_group_IT_number 10
loop_
_space_group_symop_operation_xyz
'x,y,z'
'-x,-y,-z'
'-x,y,-z'
'x,-y,z'
loop_
_atom_site_label
_atom_site_type_symbol
_atom_site_fract_x
_atom_site_fract_y
_atom_site_fract_z
La1 La 0.213 0.000 0.190
La2 La 0.236 0.500 0.806
Ag1 Ag 0.500 0.000 0.000
Ru1 Ru 0.000 0.500 0.000
I1 I 0.000 0.000 0.500
I2 I 0.500 0.500 0.500

=====

5.
# LaAgSb2I, relaxed, DFT PBE-GGA
# - ΔE_f (raw) (eV/atom) = 0.323
# - energy relative to the lowest polymorph listed for this composition (meV per atom) = 413
data_LaAgSb2I
_cell_length_a 6.146
_cell_length_b 6.146
_cell_length_c 6.149
_cell_angle_alpha 90.00
_cell_angle_beta 90.00
_cell_angle_gamma 90.00
_space_group_name_H-M_alt 'P 4/m m m'
_space_group_IT_number 123
_space_group_name_Hall '-P 4 2'
loop_
_atom_site_label
_atom_site_type_symbol
_atom_site_fract_x
_atom_site_fract_y
_atom_site_fract_z
La1 La 0.000 0.000 0.000
Ag1 Ag 0.500 0.500 0.500
Sb1 Sb 0.000 0.500 0.000
I1 I 0.000 0.000 0.500

=====

6.
# LaAgSb2I, relaxed, DFT PBE-GGA
# - ΔE_f (raw) (eV/atom) = -0.090
# - energy relative to the lowest polymorph listed for this composition (meV per atom) = 0
data_LaAgSb2I
_cell_length_a 5.329
_cell_length_b 5.329
_cell_length_c 5.755
_cell_angle_alpha 90.00
_cell_angle_beta 90.00
_cell_angle_gamma 90.00
_space_group_name_H-M_alt 'P 4/m m m'
_space_group_IT_number 123
_space_group_name_Hall '-P 4 2'
loop_
_atom_site_label
_atom_site_type_symbol
_atom_site_fract_x
_atom_site_fract_y
_atom_site_fract_z
La1 La 0.000 0.000 0.000
Ag1 Ag 0.500 0.500 0.500
Sb1 Sb 0.000 0.500 0.500
I1 I 0.500 0.500 0.000

=====

7.
# La6AgSe2I3, relaxed, DFT PBE-GGA
# - ΔE_f (raw) (eV/atom) = -1.200
data_La6AgSe2I3
_cell_length_a 7.533
_cell_length_b 13.033
_cell_length_c 8.254
_cell_angle_alpha 90.00
_cell_angle_beta 107.56
_cell_angle_gamma 90.00
_space_group_name_H-M_alt 'C 1 2/m 1'
_space_group_IT_number 12
loop_
_space_group_symop_operation_xyz
'x,y,z'
'-x,-y,-z'
'-x,y,-z'
'x,-y,z'
'x+1/2,y+1/2,z'
'-x+1/2,-y+1/2,-z'
'-x+1/2,y+1/2,-z'
'x+1/2,-y+1/2,z'
loop_
_atom_site_label
_atom_site_type_symbol
_atom_site_fract_x
_atom_site_fract_y
_atom_site_fract_z
La1 La 0.226 0.000 0.210
La2 La 0.244 0.328 0.214
Ag1 Ag 0.000 0.500 0.000
Se1 Se 0.000 0.168 0.000
I1 I 0.000 0.000 0.500
I2 I 0.000 0.337 0.500

=====

8.
# La8Si3AgI4, relaxed, DFT PBE-GGA
# - ΔE_f (raw) (eV/atom) = -0.896
data_La8Si3AgI4
_cell_length_a 8.9054
_cell_length_b 8.9054
_cell_length_c 23.0955
_cell_angle_alpha 90.00
_cell_angle_beta 90.00
_cell_angle_gamma 120.00
_space_group_name_H-M_alt 'R -3 m'
_space_group_IT_number 166
_space_group_name_Hall '-R 3 2"'
loop_
_atom_site_label
_atom_site_type_symbol
_atom_site_fract_x
_atom_site_fract_y
_atom_site_fract_z
La1 La 0.0000 0.0000 0.2341
La2 La 0.0134 0.5067 0.7630
Si1 Si 0.0000 0.5000 0.5000
Ag1 Ag 0.0000 0.0000 0.5000
I1 I 0.0000 0.0000 0.0000
I2 I 0.0000 0.5000 0.0000

=====

9.
# La4SiAgI2, relaxed, DFT PBE-GGA
# - ΔE_f (raw) (eV/atom) = -0.781
data_La4SiAgI2
_cell_length_a 7.935
_cell_length_b 4.404
_cell_length_c 7.951
_cell_angle_alpha 90.00
_cell_angle_beta 107.68
_cell_angle_gamma 90.00
_space_group_name_H-M_alt 'P 1 2/m 1'
_space_group_IT_number 10
loop_
_space_group_symop_operation_xyz
'x,y,z'
'-x,-y,-z'
'-x,y,-z'
'x,-y,z'
loop_
_atom_site_label
_atom_site_type_symbol
_atom_site_fract_x
_atom_site_fract_y
_atom_site_fract_z
La1 La 0.212 0.000 0.224
La2 La 0.219 0.500 0.751
Si1 Si 0.000 0.500 0.000
Ag1 Ag 0.000 0.000 0.500
I1 I 0.500 0.000 0.000
I2 I 0.500 0.500 0.500

=====

10.
# LaAg2TeI, relaxed, DFT PBE-GGA
# - ΔE_f (raw) (eV/atom) = 0.210
data_LaAg2TeI
_cell_length_a 5.273
_cell_length_b 5.273
_cell_length_c 6.180
_cell_angle_alpha 90.00
_cell_angle_beta 90.00
_cell_angle_gamma 90.00
_space_group_name_H-M_alt 'P 4/m m m'
_space_group_IT_number 123
_space_group_name_Hall '-P 4 2'
loop_
_atom_site_label
_atom_site_type_symbol
_atom_site_fract_x
_atom_site_fract_y
_atom_site_fract_z
La1 La 0.000 0.000 0.000
Ag1 Ag 0.000 0.500 0.500
Te1 Te 0.500 0.500 0.500
I1 I 0.500 0.500 0.000